Entry 1:
{
  "formula": "CePr4Dy6",
  "functional": "PBE",
  "state": "optimized geometry",
  "e_form_kcal_per_mol_atoms": 7.082,
  "cell": [[0.075, -5.848, -7.732], [-0.830, -0.545, 9.644], [-6.145, 5.707, 4.864]],
  "species": ["Pr", "Dy", "Dy", "Dy", "Dy", "Pr", "Dy", "Ce", "Dy", "Pr", "Pr"],
  "fractional_positions": [[0.382, 0.365, 0.365], [0.000, 0.442, 0.803], [0.500, 0.000, 0.500], [0.639, 0.197, 0.197], [0.361, 0.558, 0.558], [0.618, 0.983, 0.983], [0.000, 0.803, 0.442], [0.000, 0.000, 0.000], [0.500, 0.500, 0.000], [0.000, 0.635, 0.017], [0.000, 0.017, 0.635]]
}

Entry 2:
{
  "formula": "AcLuSiIr",
  "functional": "PBE",
  "state": "optimized geometry",
  "raw_formation_energy_ev_per_atom": -0.397,
  "cell": [[-1.555, -2.303, -4.283], [0.254, -5.083, -0.402], [-4.284, -2.778, 0.006]],
  "species": ["Si", "Ir", "Lu", "Ac"],
  "fractional_positions": [[0.500, 0.500, 0.500], [0.000, 0.000, 0.000], [0.750, 0.750, 0.750], [0.250, 0.250, 0.250]]
}

Entry 3:
{
  "formula": "Sm12Rh3N5",
  "functional": "PBE",
  "state": "optimized geometry",
  "raw_formation_energy_ev_per_atom": -0.841,
  "cell": [[-0.698, -13.103, -3.055], [4.323, 6.892, -10.739], [8.587, 1.775, 10.229]],
  "species": ["Sm", "N", "Sm", "Sm", "Sm", "Rh", "N", "Sm", "Sm", "Sm", "Sm", "Rh", "Sm", "Rh", "Sm", "Sm", "Sm", "Rh", "Rh", "Sm", "N", "N", "N", "Sm", "Sm", "N", "N", "Sm", "Sm", "Sm", "Sm", "Sm", "Sm", "N", "Sm", "Rh", "Rh", "Sm", "Sm", "Sm", "Rh", "Rh", "Sm", "Sm", "Sm", "Sm", "Sm", "N", "Sm", "Sm", "Rh", "N", "Sm", "Rh", "Rh", "N", "Sm", "N", "Sm", "N", "Sm", "Sm", "Sm", "N", "Sm", "N", "Sm", "Sm", "N", "N", "Sm", "Sm", "Sm", "Sm", "N", "N", "N", "Sm", "Sm", "Sm"],
  "fractional_positions": [[0.023, 0.404, 0.819], [0.375, 0.125, 0.750], [0.096, 0.181, 0.477], [0.904, 0.819, 0.523], [0.705, 0.585, 0.181], [0.750, 0.375, 0.125], [0.000, 0.500, 0.000], [0.096, 0.915, 0.120], [0.120, 0.705, 0.523], [0.819, 0.915, 0.295], [0.880, 0.295, 0.477], [0.250, 0.625, 0.875], [0.120, 0.415, 0.096], [0.125, 0.250, 0.875], [0.205, 0.523, 0.620], [0.620, 0.596, 0.915], [0.295, 0.415, 0.819], [0.875, 0.125, 0.250], [0.625, 0.375, 0.750], [0.705, 0.120, 0.023], [0.500, 0.000, 0.500], [0.000, 0.500, 0.500], [0.750, 0.125, 0.875], [0.181, 0.085, 0.705], [0.319, 0.523, 0.404], [0.250, 0.375, 0.625], [0.500, 0.000, 0.000], [0.585, 0.705, 0.681], [0.681, 0.477, 0.596], [0.205, 0.681, 0.085], [0.404, 0.023, 0.319], [0.596, 0.620, 0.415], [0.085, 0.904, 0.380], [0.750, 0.625, 0.375], [0.404, 0.380, 0.585], [0.750, 0.875, 0.625], [0.375, 0.625, 0.250], [0.915, 0.096, 0.620], [0.915, 0.819, 0.795], [0.380, 0.977, 0.795], [0.625, 0.250, 0.375], [0.375, 0.750, 0.625], [0.681, 0.205, 0.585], [0.023, 0.620, 0.705], [0.880, 0.585, 0.904], [0.380, 0.404, 0.085], [0.523, 0.205, 0.120], [0.125, 0.375, 0.250], [0.977, 0.380, 0.295], [0.904, 0.085, 0.880], [0.125, 0.875, 0.750], [0.625, 0.750, 0.875], [0.819, 0.904, 0.023], [0.250, 0.125, 0.375], [0.875, 0.750, 0.125], [0.875, 0.625, 0.750], [0.977, 0.596, 0.181], [0.000, 0.000, 0.000], [0.585, 0.880, 0.404], [0.125, 0.750, 0.375], [0.085, 0.181, 0.205], [0.415, 0.120, 0.596], [0.523, 0.319, 0.904], [0.500, 0.500, 0.000], [0.181, 0.096, 0.977], [0.875, 0.250, 0.625], [0.620, 0.023, 0.205], [0.295, 0.880, 0.977], [0.625, 0.875, 0.250], [0.250, 0.875, 0.125], [0.477, 0.795, 0.880], [0.477, 0.681, 0.096], [0.596, 0.977, 0.681], [0.415, 0.295, 0.319], [0.375, 0.250, 0.125], [0.500, 0.500, 0.500], [0.000, 0.000, 0.500], [0.795, 0.319, 0.915], [0.319, 0.795, 0.415], [0.795, 0.477, 0.380]]
}

| no. | size of the total moment (μB/cell) | V (Å³ per atom) | total energy (eV per atom) |
| --- | --- | --- | --- |
| 1 | 0.367 | 34.6 | -4.481 |
| 2 | 0.000 | 23.5 | -6.125 |
| 3 | 0.001 | 23.5 | -6.857 |